# 1
The following is a PBE calculation of a relaxed structure of Y3CoNi3, from Alexandria.

Unit cell a=3.9028 b=5.4862 c=13.5025 alpha=89.99 beta=81.69 gamma=69.16
Atoms (fractional coordinates):
Ni 0.0605 0.1089 0.7701
Ni 0.1137 0.3338 0.4388
Ni 0.8863 0.6662 0.5612
Ni 0.9395 0.8911 0.2299
Ni 0.8875 0.1490 0.0760
Ni 0.1125 0.8510 0.9240
Y 0.4176 0.7634 0.4013
Y 0.2276 0.3174 0.2274
Y 0.5967 0.7300 0.0767
Y 0.4033 0.2700 0.9233
Y 0.7724 0.6826 0.7726
Y 0.5824 0.2366 0.5987
Co 0.2728 0.8266 0.6277
Co 0.7272 0.1734 0.3723

Computed properties:
The total magnetization comes out at 0.0 μB/cell. As for the total energy: -6.61 eV/atom. As for the space-group type: C2/m, No. 12.

=====

# 2
The following is a PBE calculation of a relaxed structure of YCoNi2, from Alexandria.

Unit cell a=4.2553 b=4.2553 c=8.4483 alpha=75.41 beta=75.41 gamma=90.00
Atoms (fractional coordinates):
Co 0.5000 0.5000 0.0000
Co 0.2500 0.7500 0.5000
Ni 0.3750 0.5393 0.7500
Ni 0.8750 0.7107 0.7500
Ni 0.2893 0.6250 0.2500
Ni 0.4607 0.1250 0.2500
Y 0.7500 0.2500 0.5000
Y 0.0000 0.0000 0.0000

Computed properties:
The total magnetization comes out at 3.4 μB/cell. As for the total energy: -6.13 eV/atom. As for the space-group type: I-42d, No. 122.

=====

# 3
The following is a PBE calculation of a relaxed structure of YCoNi2, from Alexandria.

Unit cell a=4.3853 b=4.3853 c=4.3853 alpha=60.00 beta=60.00 gamma=60.00
Atoms (fractional coordinates):
Y 0.5000 0.5000 0.5000
Co 0.0000 0.0000 0.0000
Ni 0.7500 0.7500 0.7500
Ni 0.2500 0.2500 0.2500

Computed properties:
The total magnetization comes out at 1.5 μB/cell. As for the total energy: -6.23 eV/atom. As for the space-group type: Fm-3m, No. 225.

=====

# 4
The following is a PBE calculation of a relaxed structure of YCoNi2, from Alexandria.

Unit cell a=5.1646 b=5.1646 c=5.1646 alpha=45.83 beta=45.83 gamma=45.83
Atoms (fractional coordinates):
Y 0.2500 0.2500 0.2500
Co 0.7500 0.7500 0.7500
Ni 0.4486 0.4486 0.4486
Ni 0.0514 0.0514 0.0514

Computed properties:
The total magnetization comes out at 1.7 μB/cell. As for the total energy: -6.49 eV/atom. As for the space-group type: R-3m, No. 166.

=====

# 5
The following is a PBE calculation of a relaxed structure of YCoNi, from Alexandria.

Unit cell a=5.2541 b=5.2545 c=3.2557 alpha=71.95 beta=71.96 gamma=36.10
Atoms (fractional coordinates):
Ni 0.3696 0.3696 0.6304
Y 0.6665 0.6665 0.3335
Co 0.9639 0.9639 0.0361

Computed properties:
The total magnetization comes out at 1.8 μB/cell. As for the total energy: -6.42 eV/atom. As for the space-group type: I4mm, No. 107.

=====

# 6
The following is a PBE calculation of a relaxed structure of YCo3Ni2, from Alexandria.

Unit cell a=4.0162 b=4.8722 c=4.8721 alpha=120.00 beta=90.00 gamma=90.00
Atoms (fractional coordinates):
Ni 0.0000 0.6667 0.3333
Ni 0.0000 0.3333 0.6667
Co 0.5000 0.5000 0.5000
Co 0.5000 0.5000 0.0000
Co 0.5000 0.0000 0.5000
Y 0.0000 0.0000 0.0000

Computed properties:
The total magnetization comes out at 4.7 μB/cell. As for the total energy: -6.74 eV/atom. As for the space-group type: P6/mmm, No. 191.

=====

# 7
The following is a PBE calculation of a relaxed structure of YCo2Ni4, from Alexandria.

Unit cell a=4.7446 b=4.9904 c=4.9904 alpha=76.87 beta=61.54 gamma=61.54
Atoms (fractional coordinates):
Co 0.2500 0.5000 0.5000
Co 0.7500 0.5000 0.5000
Ni 0.6943 0.6115 0.0000
Ni 0.3057 0.3885 0.0000
Ni 0.6943 0.0000 0.6115
Ni 0.3057 0.0000 0.3885
Y 0.0000 0.0000 0.0000

Computed properties:
The total magnetization comes out at 4.5 μB/cell. As for the total energy: -6.41 eV/atom. As for the space-group type: C2/m, No. 12.

=====

# 8
The following is a PBE calculation of a relaxed structure of Y12Co6Ni, from Alexandria.

Unit cell a=8.3174 b=8.3174 c=8.3174 alpha=109.47 beta=109.47 gamma=109.47
Atoms (fractional coordinates):
Y 0.1056 0.8065 0.2990
Y 0.1935 0.2990 0.4925
Y 0.8065 0.7010 0.5075
Y 0.5075 0.8065 0.7010
Y 0.4925 0.1935 0.2990
Y 0.8065 0.2990 0.1056
Y 0.2990 0.1056 0.8065
Y 0.1935 0.7010 0.8944
Y 0.2990 0.4925 0.1935
Y 0.7010 0.5075 0.8065
Y 0.8944 0.1935 0.7010
Y 0.7010 0.8944 0.1935
Co 0.1134 0.6134 0.5000
Co 0.6134 0.5000 0.1134
Co 0.5000 0.8866 0.3866
Co 0.3866 0.5000 0.8866
Co 0.8866 0.3866 0.5000
Co 0.5000 0.1134 0.6134
Ni 0.0000 0.0000 0.0000

Computed properties:
The total magnetization comes out at 0.0 μB/cell. As for the total energy: -6.79 eV/atom. As for the space-group type: Im-3, No. 204.